Entry 1:
A geometry-optimized BaMn4Sb structure. Source: the Alexandria database, functional PBE.

POSCAR file:
```
BaMn4Sb
1.0
-0.3245 -5.5715 0.8865
-4.5488 -2.1979 2.5320
-3.6530 -3.1255 -2.9698
Sb Mn Ba
1 4 1
direct
0.7500 0.7500 0.7500
0.3753 0.8740 0.3753
0.3753 0.3753 0.8740
0.3753 0.3753 0.3753
0.8740 0.3753 0.3753
0.0000 0.0000 0.0000
```

**Size of the total moment**: 2.56 μB per atom
**SG**: F-43m (216)
**Calculated volume**: 21.27 A^3/atom
**Formation energy from raw total energies**: 531 meV per atom
**DOS(E_F)**: 1.421 states/eV per atom

---

Entry 2:
A geometry-optimized BaMnSb structure. Source: the Alexandria database, functional PBE.

POSCAR file:
```
BaMnSb
1.0
-2.8381 -4.7029 -0.2441
-0.7672 -2.9875 4.5517
-4.9974 -0.3162 2.2710
Ba Sb Mn
1 1 1
direct
0.7500 0.7500 0.7500
0.5000 0.5000 0.5000
0.0000 0.0000 0.0000
```

**Size of the total moment**: 1.72 μB per atom
**SG**: F-43m (216)
**Calculated volume**: 39.18 A^3/atom
**Formation energy from raw total energies**: 477 meV per atom
**DOS(E_F)**: 0.612 states/eV per atom

---

Entry 3:
A geometry-optimized BaMnSb2 structure. Source: the Alexandria database, functional PBE.

POSCAR file:
```
BaMnSb2
1.0
-4.3799 -0.6592 1.8810
-1.7274 -0.5013 -4.1978
0.2284 -6.6042 -1.7828
Sb Mn Ba
2 1 1
direct
0.5000 0.2104 0.2038
0.0000 0.8823 0.8617
0.5000 0.8117 0.0004
0.0000 0.5957 0.4341
```

**Size of the total moment**: 0.75 μB per atom
**SG**: Amm2 (38)
**Calculated volume**: 35.46 A^3/atom
**Formation energy from raw total energies**: -246 meV per atom
**DOS(E_F)**: 0.479 states/eV per atom

---

What did the third record say?
A geometry-optimized BaMnSb2 structure. Source: the Alexandria database, functional PBE.

POSCAR file:
```
BaMnSb2
1.0
-4.3799 -0.6592 1.8810
-1.7274 -0.5013 -4.1978
0.2284 -6.6042 -1.7828
Sb Mn Ba
2 1 1
direct
0.5000 0.2104 0.2038
0.0000 0.8823 0.8617
0.5000 0.8117 0.0004
0.0000 0.5957 0.4341
```

**Size of the total moment**: 0.75 μB per atom
**SG**: Amm2 (38)
**Calculated volume**: 35.46 A^3/atom
**Formation energy from raw total energies**: -246 meV per atom
**DOS(E_F)**: 0.479 states/eV per atom

---

What is the calculated volume in the second record?
39.18 A^3/atom

---

Which value of size of the total moment does entry 1 give?
2.56 μB per atom